This record from Alexandria via LeMat-Bulk describes a relaxed YSb2Te crystal. The functional is GGA-PBE.

Structure (POSCAR):
```
YSb2Te
1.0
6.2755 -0.0167 0.0000
3.0203 5.5010 0.0000
-4.6479 -2.7421 3.2032
Sb Y Te
2 1 1
Direct
0.0000 0.0000 0.0000
0.2500 0.7500 0.5000
0.7500 0.2500 0.5000
0.5000 0.5000 0.0000
```

Results
Its total magnetization is 0.00 μB per formula unit. The calculation puts the energy at -19.57 eV for the cell shown. For the uncorrected formation energy, the calculation gives -0.429 eV per atom.